DFT (SCAN) results for a PBEsol-optimized structure of SbPCl4F6.

a = 8.5907 Å, b = 8.5907 Å, c = 6.5590 Å
α = 90.00°, β = 90.00°, γ = 90.00°
With the nearest neighbours (Å) after each atom.
Fractional positions:
Sb 0.2500 0.2500 0.1564  6 F 1.91-1.92
Sb 0.7500 0.7500 0.8436  6 F 1.91-1.92
P 0.2500 0.7500 0.5000  4 Cl 1.95
P 0.7500 0.2500 0.5000  4 Cl 1.95
Cl 0.0689 0.7128 0.3286  1 P 1.95
Cl 0.2128 0.9311 0.6714  1 P 1.95
Cl 0.2872 0.5689 0.6714  1 P 1.95
Cl 0.4311 0.7872 0.3286  1 P 1.95
Cl 0.5689 0.2128 0.6714  1 P 1.95
Cl 0.7128 0.4311 0.3286  1 P 1.95
Cl 0.7872 0.0689 0.3286  1 P 1.95
Cl 0.9311 0.2872 0.6714  1 P 1.95
F 0.0386 0.3186 0.1553  1 Sb 1.91
F 0.1814 0.0386 0.1553  1 Sb 1.91
F 0.2500 0.2500 0.4471  1 Sb 1.91
F 0.2500 0.2500 0.8640  1 Sb 1.92
F 0.3186 0.4614 0.1553  1 Sb 1.91
F 0.4614 0.1814 0.1553  1 Sb 1.91
F 0.5386 0.8186 0.8447  1 Sb 1.91
F 0.6814 0.5386 0.8447  1 Sb 1.91
F 0.7500 0.7500 0.1360  1 Sb 1.92
F 0.7500 0.7500 0.5529  1 Sb 1.91
F 0.8186 0.9614 0.8447  1 Sb 1.91
F 0.9614 0.6814 0.8447  1 Sb 1.91

Size of the total moment = 0.0 μB/f.u.
Electronic total energy = -0.74764 Ry/atom
Volume = 20.17 A^3/atom
Density of states at the Fermi level = 0.00 states/eV/cell
Mass density = 2.80 g/cm³
Formation energy (no corrections) = -1.771 eV per atom

=====

DFT (SCAN) results for a PBEsol-optimized structure of SrCaTe2.

a = 7.2869 Å, b = 7.2869 Å, c = 7.2869 Å
α = 144.18°, β = 144.18°, γ = 51.55°
With the nearest neighbours (Å) after each atom.
Fractional positions:
Sr 0.0000 0.0000 0.0000  4 Te 3.17
Ca 0.2500 0.7500 0.5000  4 Te 3.17
Te 0.5000 0.5000 0.0000  4 Sr 3.17
Te 0.7500 0.2500 0.5000  4 Ca 3.17

Size of the total moment = 0.0 μB/f.u.
Electronic total energy = -2.06385 Ry/atom
Volume = 32.94 A^3/atom
Mass density = 4.83 g/cm³
Offset from the most stable computed form = 418 meV per atom
Formation energy (no corrections) = -1.470 eV per atom

=====

DFT (SCAN) results for a PBEsol-optimized structure of SiMo2N.

a = 4.0936 Å, b = 4.0936 Å, c = 4.0936 Å
α = 60.00°, β = 60.00°, γ = 60.00°
With the nearest neighbours (Å) after each atom.
Fractional positions:
Si 0.0000 0.0000 0.0000  8 Mo 2.51
Mo 0.2500 0.2500 0.2500  4 N 2.51, 4 Si 2.51
Mo 0.7500 0.7500 0.7500  4 N 2.51, 4 Si 2.51
N 0.5000 0.5000 0.5000  8 Mo 2.51

Size of the total moment = 0.0 μB/f.u.
Electronic total energy = -1.58939 Ry/atom
Volume = 12.13 A^3/atom
Density of states at the Fermi level = 4.80 states/eV/cell
Mass density = 8.01 g/cm³
Offset from the most stable computed form = 280 meV per atom
Formation energy (no corrections) = 0.645 eV per atom

=====

DFT (SCAN) results for a PBEsol-optimized structure of YBe2Pt2.

a = 5.7301 Å, b = 5.7301 Å, c = 5.7301 Å
α = 140.27°, β = 140.27°, γ = 57.45°
With the nearest neighbours (Å) after each atom.
Fractional positions:
Y 0.0000 0.0000 0.0000  8 Pt 3.06, 8 Be 3.18
Be 0.2500 0.7500 0.5000  4 Pt 2.28
Be 0.7500 0.2500 0.5000  4 Pt 2.28
Pt 0.3674 0.3674 0.0000  4 Be 2.28
Pt 0.6326 0.6326 0.0000  4 Be 2.28

Formation energy from the elements = -105.07 kJ per mole of atoms
Size of the total moment = 0.0 μB/f.u.
Electronic total energy = -2.68095 Ry/atom
Volume = 15.24 A^3/atom
Density of states at the Fermi level = 2.09 states/eV/cell
Mass density = 10.83 g/cm³